4
Lattice="1.856 0.000 5.004 -0.928 1.607 5.004 -0.928 -1.607 5.004" Properties=species:S:1:pos:R:3 comment="BeFeO2 (PBE+U, optimized geometry)" sg="R-3m (166)" e_tot_ev_per_fu=-26.19 crystal_system=trigonal mass_density_g_cm3=3.59 pbc="T T T"
Fe 0.000 0.000 7.506
Be 0.000 0.000 0.000
O 0.000 0.000 13.584
O 0.000 0.000 1.428